A plane-wave DFT calculation with PBE-GGA was carried out for a geometry-optimized Y3MnCr structure.

Calculated values
Space group: Pm-3m (221)
V, Å³/cell: 138
VASP energy, eV for the cell shown: -35.4
Size of the total moment, μB per cell: 4.36
Polymorph energy (0 for the lowest one), eV/atom: 0.000
Energy of formation from the pure elements, eV/f.u.: 2.81

```
5
Lattice="5.164 0.000 0.000 0.000 5.164 0.000 0.000 0.000 5.164" Properties=species:S:1:pos:R:3 pbc="T T T"
Y 2.582 0.000 0.000
Y 0.000 0.000 2.582
Y 0.000 2.582 0.000
Cr 2.582 2.582 2.582
Mn 0.000 0.000 0.000
```


A plane-wave DFT calculation with PBE-GGA was carried out for a geometry-optimized SrP2Pd4 structure.

Calculated values
Space group: Cmmm (65)
V, Å³/cell: 120
VASP energy, eV for the cell shown: -38.1
Size of the total moment, μB per cell: 0.00
Energy of formation from the pure elements, eV/f.u.: -4.79

```
7
Lattice="4.265 0.000 0.000 0.000 4.250 0.000 0.000 -2.125 6.611" Properties=species:S:1:pos:R:3 pbc="T T T"
P 2.132 0.000 5.428
P 2.132 2.125 1.183
Sr 0.000 0.000 0.000
Pd 0.000 2.125 2.304
Pd 2.132 0.000 2.350
Pd 0.000 0.000 4.306
Pd 2.132 2.125 4.261
```


A plane-wave DFT calculation with PBE-GGA was carried out for a geometry-optimized Li2ZnIn8 structure.

Calculated values
Space group: P4/mmm (123)
V, Å³/cell: 267
VASP energy, eV for the cell shown: -27.9
Size of the total moment, μB per cell: 0.00
Energy of formation from the pure elements, eV/f.u.: -0.86

```
11
Lattice="-1.153 4.575 -0.589 -4.507 -0.988 1.147 2.433 2.073 11.347" Properties=species:S:1:pos:R:3 pbc="T T T"
Li 1.654 1.410 7.715
Li 0.779 0.664 3.631
In 1.524 4.077 9.499
In -0.154 1.296 10.367
In -1.167 3.211 8.036
In -2.060 2.450 3.869
In -0.243 2.572 1.259
In 0.640 3.324 5.379
In -1.921 -0.210 2.127
In -1.037 0.543 6.247
Zn 0.000 0.000 0.000
```


A plane-wave DFT calculation with PBE-GGA was carried out for a geometry-optimized TiBN2 structure.

Calculated values
Formation energy from raw total energies, kJ/mol of formula units: 236
Space group: R-3m (166)
V, Å³/cell: 36
VASP energy, eV for the cell shown: -28.8
Size of the total moment, μB per cell: 0.00

```
4
Lattice="1.582 0.000 5.560 -0.791 1.370 5.560 -0.791 -1.370 5.560" Properties=species:S:1:pos:R:3 pbc="T T T"
N 0.000 0.000 1.935
N 0.000 0.000 14.745
B 0.000 0.000 8.340
Ti 0.000 0.000 0.000
```